Record 1
Ga2SeBr2: relaxed, PBE-GGA.

Properties
Density of states at the Fermi level   0.215 states/eV/cell
Theoretical density   3.563 g/cm3
Formation energy without anion corrections   -0.5857 eV per atom

Unit cell a=4.9991 b=7.4723 c=10.0996 alpha=104.85 beta=104.28 gamma=90.02
Space group P-1 (No. 2)
Symmetry-distinct sites (fractional):
Ga 0.1393 0.4684 0.4094 x2
Ga 0.2294 0.0319 0.5906 x2
Se 0.5000 0.2499 0.4998 x2
Br 0.0218 0.6151 0.8325 x2
Br 0.3107 0.1154 0.8326 x2

Record 2
Y8Al2Os: relaxed, PBE-GGA.

Properties
Density of states at the Fermi level   20.342 states/eV/cell
DFT formation energy   -20.6 kJ/mol of atoms
Theoretical density   5.320 g/cm3

Unit cell a=17.8409 b=5.1828 c=6.9058 alpha=90.00 beta=110.93 gamma=90.00
Space group C2/m (No. 12)
Symmetry-distinct sites (fractional):
Y 0.0169 0.0000 0.2858 x4
Y 0.0937 0.5000 0.9283 x4
Y 0.1520 0.5000 0.4488 x4
Y 0.2023 0.0000 0.7894 x4
Al 0.1783 0.0000 0.2019 x4
Os 0.0000 0.5000 0.5000 x2

Record 3
Sr2Mg4Sn3Hg: relaxed, PBE-GGA.

Properties
Density of states at the Fermi level   2.018 states/eV/cell
DFT formation energy   -39.5 kJ/mol of atoms
Theoretical density   4.951 g/cm3

Unit cell a=4.7305 b=4.7305 c=12.4282 alpha=90.00 beta=90.00 gamma=90.00
Space group P-4m2 (No. 115)
Symmetry-distinct sites (fractional):
Sr 0.0000 0.5000 0.2490 x2
Mg 0.0000 0.0000 0.5000 x1
Mg 0.0000 0.5000 0.8662 x2
Mg 0.5000 0.5000 0.5000 x1
Sn 0.0000 0.0000 0.0000 x1
Sn 0.0000 0.5000 0.6404 x2
Hg 0.5000 0.5000 0.0000 x1

Record 4
Tb5HgIr4: relaxed, PBE-GGA.

Properties
Density of states at the Fermi level   7.586 states/eV/cell
DFT formation energy   -71.2 kJ/mol of atoms
Theoretical density   13.582 g/cm3

Unit cell a=3.4953 b=3.4953 c=17.6540 alpha=90.00 beta=90.00 gamma=90.00
Space group P4/mmm (No. 123)
Symmetry-distinct sites (fractional):
Tb 0.0000 0.0000 0.0000 x1
Tb 0.0000 0.0000 0.1908 x2
Tb 0.0000 0.0000 0.3800 x2
Hg 0.5000 0.5000 0.5000 x1
Ir 0.5000 0.5000 0.0963 x2
Ir 0.5000 0.5000 0.2899 x2

Record 5
CaHf2Nb3N6: relaxed, PBE-GGA.

Properties
Density of states at the Fermi level   9.347 states/eV/cell
Theoretical density   9.059 g/cm3
Formation energy without anion corrections   -1.2818 eV per atom

Unit cell a=13.9653 b=3.1910 c=6.4353 alpha=90.00 beta=103.76 gamma=90.00
Space group C2/m (No. 12)
Symmetry-distinct sites (fractional):
Ca 0.0000 0.0000 0.0000 x2
Hf 0.1648 0.5000 0.3312 x4
Nb 0.0000 0.0000 0.5000 x2
Nb 0.1638 0.5000 0.8258 x4
N 0.0036 0.5000 0.2657 x4
N 0.1682 0.0000 0.5762 x4
N 0.1717 0.0000 0.0898 x4

Record 6
BrCl3: relaxed, PBE-GGA.

Properties
Density of states at the Fermi level   6.795 states/eV/cell
Theoretical density   3.177 g/cm3
Formation energy without anion corrections   0.6865 eV per atom

Unit cell a=3.7359 b=3.7359 c=8.0544 alpha=90.00 beta=90.00 gamma=120.00
Space group P-6m2 (No. 187)
Symmetry-distinct sites (fractional):
Br 0.0000 0.0000 0.0000 x1
Cl 0.0000 0.0000 0.5000 x1
Cl 0.6667 0.3333 0.2478 x2

Record 7
TbPr4Nd3S8: relaxed, PBE-GGA.

Properties
Density of states at the Fermi level   26.165 states/eV/cell
Theoretical density   6.138 g/cm3
Formation energy without anion corrections   -2.0159 eV per atom

Unit cell a=8.1364 b=8.1364 c=19.9867 alpha=90.00 beta=90.00 gamma=120.00
Space group R-3m (No. 166, hexagonal axes)
Symmetry-distinct sites (fractional):
Tb 0.0000 0.0000 0.0000 x3
Pr 0.0000 0.0000 0.5000 x3
Pr 0.0000 0.5000 0.5000 x9
Nd 0.0000 0.5000 0.0000 x9
S 0.0000 0.0000 0.2512 x6
S 0.0069 0.5034 0.7472 x18

Record 8
GaOsSCl2: relaxed, PBE-GGA.

Properties
Excess energy over the best structure of this formula in the dataset   0.000 eV per atom
Density of states at the Fermi level   1.998 states/eV/cell
Theoretical density   5.263 g/cm3
Formation energy without anion corrections   0.0301 eV per atom

Unit cell a=5.1102 b=5.1102 c=4.3852 alpha=90.00 beta=90.00 gamma=90.00
Space group P4/mmm (No. 123)
Symmetry-distinct sites (fractional):
Ga 0.0000 0.0000 0.0000 x1
Os 0.5000 0.5000 0.5000 x1
S 0.5000 0.5000 0.0000 x1
Cl 0.0000 0.5000 0.5000 x2

no.,raw total energy (eV/atom)
1,-3.1625
2,-6.6157
3,-2.6150
4,-6.6279
5,-9.7876
6,-1.1167
7,-6.4578
8,-4.3853